The following is a DFT calculation (PBE) of crystalline KHfAg at its relaxed geometry.

Geometry as CIF:
```
data_KHfAg
_cell_length_a 5.017
_cell_length_b 5.017
_cell_length_c 5.017
_cell_angle_alpha 60.00
_cell_angle_beta 60.00
_cell_angle_gamma 60.00
_symmetry_space_group_name_H-M 'P 1'
_symmetry_Int_Tables_number 1
loop_
_symmetry_equiv_pos_as_xyz
'x,y,z'
loop_
_atom_site_label
_atom_site_fract_x
_atom_site_fract_y
_atom_site_fract_z
_atom_site_occupancy
K1 0.000 0.000 0.000 1
Hf1 0.500 0.500 0.500 1
Ag1 0.750 0.750 0.750 1
```

**Space-group type**: F-43m (216)
**Offset from the most stable computed form**: 0.0 meV per atom